[1]
! Tc2Ag2Au meta-GGA SCAN PBEsol geometry; values from VASP
! DOS at the Fermi energy = 2.80 states/eV per cell
! Formation enthalpy at 0 K = 269.5 kJ/mol of formula units
! Symmetry = No. 139
&SYSTEM
  ibrav = 0, nat = 5, ntyp = 3
/
ATOMIC_SPECIES
Au 196.97 Au.upf
Tc 98.00 Tc.upf
Ag 107.87 Ag.upf
CELL_PARAMETERS angstrom
3.4007 0.0000 0.0000
0.0000 3.4007 0.0000
-1.7003 -1.7003 7.3730
ATOMIC_POSITIONS crystal
Au 0.0000 0.0000 0.0000
Tc 0.2500 0.7500 0.5000
Tc 0.7500 0.2500 0.5000
Ag 0.4029 0.4029 0.8057
Ag 0.5971 0.5971 0.1943


[2]
! Tc2AgAu meta-GGA SCAN PBEsol geometry; values from VASP
! DOS at the Fermi energy = 3.27 states/eV per cell
! Formation enthalpy at 0 K = 143.0 kJ/mol of formula units
! Symmetry = No. 8
! Polymorph energy (0 for the lowest one) = 0.110 eV/atom
&SYSTEM
  ibrav = 0, nat = 4, ntyp = 3
/
ATOMIC_SPECIES
Ag 107.87 Ag.upf
Au 196.97 Au.upf
Tc 98.00 Tc.upf
CELL_PARAMETERS angstrom
2.6597 -0.0002 -0.0006
-1.3302 4.5619 0.0019
-0.0012 -0.6326 5.0031
ATOMIC_POSITIONS crystal
Ag 0.4996 0.9993 0.4903
Au 0.7482 0.4960 0.2604
Tc 0.0026 0.0054 0.9723
Tc 0.2496 0.4992 0.7769


[3]
! AgTe4Au meta-GGA SCAN PBEsol geometry; values from VASP
! DOS at the Fermi energy = 2.28 states/eV per cell
! Symmetry = No. 13
! Formation energy without anion corrections = -110.7 meV/atom
&SYSTEM
  ibrav = 0, nat = 12, ntyp = 3
/
ATOMIC_SPECIES
Te 127.60 Te.upf
Au 196.97 Au.upf
Ag 107.87 Ag.upf
CELL_PARAMETERS angstrom
4.3282 0.0000 0.0000
0.0000 8.8384 0.0684
0.0000 -3.1820 8.3249
ATOMIC_POSITIONS crystal
Te 0.4306 0.7374 0.5498
Te 0.4306 0.7626 0.9502
Te 0.9792 0.9936 0.2982
Te 0.9792 0.5064 0.2018
Te 0.0208 0.0064 0.7018
Te 0.0208 0.4936 0.7982
Te 0.5694 0.2374 0.0498
Te 0.5694 0.2626 0.4502
Au 0.0000 0.5000 0.5000
Au 0.0000 0.0000 0.0000
Ag 0.4924 0.2500 0.7500
Ag 0.5076 0.7500 0.2500


[4]
! AgTeAu2 meta-GGA SCAN PBEsol geometry; values from VASP
! DOS at the Fermi energy = 1.53 states/eV per cell
! Symmetry = No. 139
! Formation energy without anion corrections = 95.0 meV/atom
&SYSTEM
  ibrav = 0, nat = 4, ntyp = 3
/
ATOMIC_SPECIES
Te 127.60 Te.upf
Au 196.97 Au.upf
Ag 107.87 Ag.upf
CELL_PARAMETERS angstrom
-0.3527 3.7685 -1.6776
-3.7649 0.3940 1.6765
3.8596 -0.2989 3.6257
ATOMIC_POSITIONS crystal
Te 0.0000 0.0000 0.0000
Au 0.7500 0.2500 0.5000
Au 0.2500 0.7500 0.5000
Ag 0.5000 0.5000 0.0000


[5]
! AgTeAu2 meta-GGA SCAN PBEsol geometry; values from VASP
! DOS at the Fermi energy = 1.17 states/eV per cell
! Symmetry = No. 123
! Formation energy without anion corrections = 74.8 meV/atom
&SYSTEM
  ibrav = 0, nat = 4, ntyp = 3
/
ATOMIC_SPECIES
Te 127.60 Te.upf
Au 196.97 Au.upf
Ag 107.87 Ag.upf
CELL_PARAMETERS angstrom
4.1791 0.0000 0.0000
0.0000 4.1791 0.0000
0.0000 0.0000 4.3506
ATOMIC_POSITIONS crystal
Te 0.5000 0.5000 0.5000
Au 0.0000 0.5000 0.0000
Au 0.5000 0.0000 0.0000
Ag 0.0000 0.0000 0.5000


[6]
! AgTeAu2 meta-GGA SCAN PBEsol geometry; values from VASP
! DOS at the Fermi energy = 1.35 states/eV per cell
! Symmetry = No. 99
! Formation energy without anion corrections = 164.5 meV/atom
&SYSTEM
  ibrav = 0, nat = 4, ntyp = 3
/
ATOMIC_SPECIES
Te 127.60 Te.upf
Au 196.97 Au.upf
Ag 107.87 Ag.upf
CELL_PARAMETERS angstrom
2.9864 0.0929 0.0000
-0.0933 2.9864 0.0000
0.0000 0.0000 8.8167
ATOMIC_POSITIONS crystal
Te 0.0000 0.0000 0.4936
Au 0.0000 0.0000 0.0030
Au 0.5000 0.5000 0.7827
Ag 0.5000 0.5000 0.2206


What is the DOS at the Fermi energy in the third record?
2.28 states/eV per cell


What is the DOS at the Fermi energy in the sixth record?
1.35 states/eV per cell